(1)
# Zn2Ga2S

Zn2Ga2S after structural relaxation (PBE-GGA, the Alexandria database).

* symmetry: P4/mbm
* DOS(E_F): 3.93 states/eV per cell
* ΔE_f (raw): 0.109 eV per atom

Structure (POSCAR):
```
Zn2Ga2S
1.0
7.139 0.000 0.000
0.000 7.139 0.000
0.000 0.000 3.698
Zn S Ga
4 2 4
Direct
0.128 0.628 0.500 Zn
0.628 0.872 0.500 Zn
0.872 0.372 0.500 Zn
0.372 0.128 0.500 Zn
0.000 0.000 0.000 S
0.500 0.500 0.000 S
0.318 0.818 0.000 Ga
0.818 0.682 0.000 Ga
0.682 0.182 0.000 Ga
0.182 0.318 0.000 Ga
```

(2)
# ZnGaS

ZnGaS after structural relaxation (PBE-GGA, the Alexandria database).

* symmetry: Imma
* DOS(E_F): 1.69 states/eV per cell
* ΔE_f (raw): -0.357 eV per atom

Structure (POSCAR):
```
ZnGaS
1.0
-2.741 -2.838 -0.824
2.515 -1.968 -1.572
1.936 -1.688 9.218
Zn Ga S
2 2 2
Direct
0.549 0.298 0.097 Zn
0.451 0.702 0.903 Zn
0.211 0.961 0.421 Ga
0.789 0.039 0.579 Ga
0.874 0.624 0.748 S
0.126 0.376 0.252 S
```

(3)
# Zn2Ga2S5

Zn2Ga2S5 after structural relaxation (PBE-GGA, the Alexandria database).

* symmetry: P6_3/mmc
* ΔE_f (raw): -0.614 eV per atom

Structure (POSCAR):
```
Zn2Ga2S5
1.0
-3.529 0.028 1.104
2.415 -2.308 1.587
6.916 22.050 21.550
Zn S Ga
4 10 4
Direct
0.000 0.000 0.797 Zn
0.000 0.000 0.203 Zn
0.000 0.000 0.297 Zn
0.000 0.000 0.703 Zn
0.333 0.667 0.250 S
0.667 0.333 0.750 S
0.333 0.667 0.837 S
0.667 0.333 0.163 S
0.667 0.333 0.337 S
0.333 0.667 0.663 S
0.667 0.333 0.939 S
0.333 0.667 0.061 S
0.333 0.667 0.439 S
0.667 0.333 0.561 S
0.333 0.667 0.907 Ga
0.667 0.333 0.093 Ga
0.667 0.333 0.407 Ga
0.333 0.667 0.593 Ga
```